# Pm6ZnCo2, optimized geometry, DFT PBE-GGA
data_Pm6ZnCo2
_symmetry_space_group_name_H-M 'I m m m'
_symmetry_Int_Tables_number 71
_symmetry_space_group_name_Hall '-I 2 2'
_cell_length_a 9.4935
_cell_length_b 9.8344
_cell_length_c 10.0827
_cell_angle_alpha 90.00
_cell_angle_beta 90.00
_cell_angle_gamma 90.00
loop_
_atom_site_label
_atom_site_fract_x
_atom_site_fract_y
_atom_site_fract_z
Pm1 0.0000 0.1956 0.2366
Pm2 0.1863 0.5000 0.1752
Pm3 0.2200 0.3207 0.5000
Zn1 0.0000 0.0000 0.0000
Zn2 0.0000 0.0000 0.5000
Co1 0.0000 0.3325 0.0000
Co2 0.0000 0.5000 0.3875
# Energy of formation from the pure elements: -1.25 eV per formula unit
# Fermi-level density of states: 0.90 states/eV per atom